BiP2ClF | PBE | optimized geometry

Results
Its excess energy over the best structure of this formula in the dataset is 0.000 eV per atom. Its space group is No. 123.

```
BiP2ClF
1.0
4.2473 0.0000 0.0000
0.0000 4.2473 0.0000
0.0000 0.0000 5.3891
Bi P Cl F
1 2 1 1
Direct
0.0000 0.0000 0.0000
0.0000 0.5000 0.5000
0.5000 0.0000 0.5000
0.5000 0.5000 0.0000
0.5000 0.5000 0.5000
```

=====

BiP2ClF | PBE | optimized geometry

Results
Its excess energy over the best structure of this formula in the dataset is 0.443 eV per atom. Its space group is No. 123.

```
BiP2ClF
1.0
5.5219 0.0000 0.0000
0.0000 5.5219 0.0000
0.0000 0.0000 5.3144
Bi P Cl F
1 2 1 1
Direct
0.0000 0.0000 0.0000
0.0000 0.5000 0.0000
0.5000 0.0000 0.0000
0.0000 0.0000 0.5000
0.5000 0.5000 0.5000
```

=====

RbBiCl2F | PBE | optimized geometry

Results
Its space group is No. 123.

```
RbBiCl2F
1.0
5.8641 0.0000 0.0000
0.0000 5.8641 0.0000
0.0000 0.0000 4.6106
Rb Bi Cl F
1 1 2 1
Direct
0.0000 0.0000 0.0000
0.5000 0.5000 0.5000
0.0000 0.5000 0.5000
0.5000 0.0000 0.5000
0.5000 0.5000 0.0000
```

=====

Rb2BiClF6 | PBE | optimized geometry

Results
Its excess energy over the best structure of this formula in the dataset is 0.073 eV per atom. Its space group is No. 139.

```
Rb2BiClF6
1.0
-3.4726 3.4726 4.8573
3.4726 -3.4726 4.8573
3.4726 3.4726 -4.8573
Rb Bi Cl F
2 1 1 6
Direct
0.2500 0.7500 0.5000
0.7500 0.2500 0.5000
0.0000 0.0000 0.0000
0.5000 0.5000 0.0000
0.2167 0.2167 0.4334
0.2167 0.7833 0.0000
0.2190 0.2190 0.0000
0.7810 0.7810 0.0000
0.7833 0.2167 0.0000
0.7833 0.7833 0.5666
```

=====

Results for D(E_F): 2.8 7.2 2.4 5.7 (in states/eV per cell, following the order of the records).
Results for formation energy (no corrections): 0.24 0.68 -1.50 -2.06 (in eV/atom, following the order of the records).